## As2IrCl (GGA-PBE)

Data for a geometry-optimized As2IrCl structure.

Values from the calculation:
Size of the total moment = 0.00 μB per cell
ΔE to the lowest computed polymorph = 0.429 eV/atom
V = 18.7 Å³/atom

Lattice parameters (Å, degrees): 7.694 5.826 2.925 60.31 111.71 138.87
Atoms (fractional coordinates):
Ir (0.500, 0.500, 0.000)
Cl (0.000, 0.500, 0.500)
As (0.000, 0.000, 0.000)
As (0.500, 0.000, 0.500)

=====

## Ca4Pa3AuN8 (GGA-PBE)

Data for a geometry-optimized Ca4Pa3AuN8 structure.

Values from the calculation:
Size of the total moment = 0.00 μB per cell
V = 15.5 Å³/atom
Energy = -7.83 eV per atom

Lattice parameters (Å, degrees): 7.076 7.016 7.086 120.29 119.96 90.00
Atoms (fractional coordinates):
Pa (0.500, 0.500, 0.500)
Pa (0.500, 0.500, 0.000)
Pa (0.000, 0.500, 0.500)
N (0.741, 0.723, 0.482)
N (0.301, 0.279, 0.040)
N (0.259, 0.277, 0.518)
N (0.739, 0.279, 0.040)
N (0.738, 0.278, 0.477)
N (0.261, 0.721, 0.960)
N (0.262, 0.722, 0.523)
N (0.699, 0.721, 0.960)
Ca (0.500, 0.000, 0.500)
Ca (0.500, 0.000, 0.000)
Ca (0.000, 0.000, 0.000)
Ca (0.000, 0.000, 0.500)
Au (0.000, 0.500, 0.000)

=====

Q: What is the formula in the second record?
A: Ca4Pa3AuN8